[1]
The following is a GGA-PBE calculation of NaTa2Re2 after structural relaxation, from Alexandria. Values from VASP.

Structure (Quantum ESPRESSO input):
```
&SYSTEM
  ibrav = 0, nat = 10, ntyp = 3
/
ATOMIC_SPECIES
Re 186.21 Re.upf
Na 22.99 Na.upf
Ta 180.95 Ta.upf
ATOMIC_POSITIONS crystal
Re 0.3530 0.8530 0.0000
Re 0.8530 0.6470 0.0000
Re 0.6470 0.1470 0.0000
Re 0.1470 0.3530 0.0000
Na 0.0000 0.0000 0.0000
Na 0.5000 0.5000 0.0000
Ta 0.1458 0.6458 0.5000
Ta 0.6458 0.8542 0.5000
Ta 0.8542 0.3542 0.5000
Ta 0.3542 0.1458 0.5000
CELL_PARAMETERS angstrom
-4.9928 -1.5952 6.6028
6.7446 -0.1894 5.0542
-0.2567 2.6293 0.4411
```

Calculated values
- SG: P4/mbm
- E_form: 0.34 eV/atom
- Total energy: -96.4 eV for the cell shown

=====

[2]
The following is a GGA-PBE calculation of TaNi2SnTe after structural relaxation, from Alexandria. Values from VASP.

Structure (Quantum ESPRESSO input):
```
&SYSTEM
  ibrav = 0, nat = 5, ntyp = 4
/
ATOMIC_SPECIES
Ni 58.69 Ni.upf
Te 127.60 Te.upf
Sn 118.71 Sn.upf
Ta 180.95 Ta.upf
ATOMIC_POSITIONS crystal
Ni 0.0000 0.0000 0.5000
Ni 0.5000 0.0000 0.0000
Te 0.0000 0.0000 0.0000
Sn 0.0000 0.5000 0.0000
Ta 0.5000 0.5000 0.5000
CELL_PARAMETERS angstrom
-0.6644 4.4025 0.7099
-4.9356 -1.1910 2.7667
2.2528 -0.2881 3.8948
```

Calculated values
- SG: P4/mmm
- Energy relative to the elements, uncorrected: 1.29 eV/atom
- Total energy: -24.1 eV for the cell shown

=====

[3]
The following is a GGA-PBE calculation of Tb8Pm6Tm after structural relaxation, from Alexandria. Values from VASP.

Structure (Quantum ESPRESSO input):
```
&SYSTEM
  ibrav = 0, nat = 15, ntyp = 3
/
ATOMIC_SPECIES
Tb 158.93 Tb.upf
Pm 145.00 Pm.upf
Tm 168.93 Tm.upf
ATOMIC_POSITIONS crystal
Tb 0.2517 0.2804 0.5798
Tb 0.7196 0.1119 0.4202
Tb 0.1119 0.7483 0.4202
Tb 0.5771 0.5771 0.2686
Tb 0.4229 0.4229 0.7314
Tb 0.8881 0.2517 0.5798
Tb 0.2804 0.8881 0.5798
Tb 0.7483 0.7196 0.4202
Pm 0.4611 0.8973 0.8721
Pm 0.1027 0.2305 0.1279
Pm 0.2305 0.5389 0.1279
Pm 0.7695 0.4611 0.8721
Pm 0.8973 0.7695 0.8721
Pm 0.5389 0.1027 0.1279
Tm 0.0000 0.0000 0.0000
CELL_PARAMETERS angstrom
-5.9736 0.9668 6.8309
1.7476 -3.7155 8.1499
1.7888 4.9119 6.9650
```

Calculated values
- SG: R-3
- E_form: 0.12 eV/atom
- Total energy: -68.3 eV for the cell shown

=====

[4]
The following is a GGA-PBE calculation of ScHgCl2 after structural relaxation, from Alexandria. Values from VASP.

Structure (Quantum ESPRESSO input):
```
&SYSTEM
  ibrav = 0, nat = 4, ntyp = 3
/
ATOMIC_SPECIES
Sc 44.96 Sc.upf
Hg 200.59 Hg.upf
Cl 35.45 Cl.upf
ATOMIC_POSITIONS crystal
Sc 0.5000 0.5000 0.0000
Hg 0.0000 0.5000 0.5000
Cl 0.0000 0.0000 0.0000
Cl 0.5000 0.0000 0.5000
CELL_PARAMETERS angstrom
5.7729 -0.0056 -0.0144
-2.8984 4.8971 0.0085
-0.0238 1.2613 3.2809
```

Calculated values
- SG: C2/m
- Energy relative to the elements, uncorrected: -0.69 eV/atom
- Total energy: -13.1 eV for the cell shown

=====

[5]
The following is a GGA-PBE calculation of Ag2PCl after structural relaxation, from Alexandria. Values from VASP.

Structure (Quantum ESPRESSO input):
```
&SYSTEM
  ibrav = 0, nat = 4, ntyp = 3
/
ATOMIC_SPECIES
Ag 107.87 Ag.upf
Cl 35.45 Cl.upf
P 30.97 P.upf
ATOMIC_POSITIONS crystal
Ag 0.0000 0.0000 0.9819
Ag 0.5000 0.5000 0.2312
Cl 0.0000 0.0000 0.4285
P 0.5000 0.5000 0.8585
CELL_PARAMETERS angstrom
-1.1157 -0.2566 3.2490
-1.0415 -3.2263 -0.6108
6.2977 -2.4064 1.9725
```

Calculated values
- SG: P4mm
- Energy relative to the elements, uncorrected: 0.09 eV/atom
- Total energy: -12.6 eV for the cell shown

=====

[6]
The following is a GGA-PBE calculation of Ba7In2Ga2 after structural relaxation, from Alexandria. Values from VASP.

Structure (Quantum ESPRESSO input):
```
&SYSTEM
  ibrav = 0, nat = 11, ntyp = 3
/
ATOMIC_SPECIES
Ba 137.33 Ba.upf
In 114.82 In.upf
Ga 69.72 Ga.upf
ATOMIC_POSITIONS crystal
Ba 0.9999 0.2953 0.5002
Ba 0.5002 0.7047 0.9999
Ba 0.0001 0.7047 0.4998
Ba 0.4998 0.2953 0.0001
Ba 0.0000 0.0000 0.0000
Ba 0.5001 0.7210 0.4999
Ba 0.4999 0.2790 0.5001
In 0.7014 0.0000 0.2986
In 0.2986 0.0000 0.7014
Ga 0.8530 0.5000 0.8530
Ga 0.1470 0.5000 0.1470
CELL_PARAMETERS angstrom
-1.3047 6.0088 -4.6821
-8.3213 0.8970 3.4628
3.0529 2.0922 6.7847
```

Calculated values
- SG: Cmmm
- E_form: -0.14 eV/atom
- Total energy: -26.6 eV for the cell shown

=====

[7]
The following is a GGA-PBE calculation of Pr8AgPd2 after structural relaxation, from Alexandria. Values from VASP.

Structure (Quantum ESPRESSO input):
```
&SYSTEM
  ibrav = 0, nat = 11, ntyp = 3
/
ATOMIC_SPECIES
Pr 140.91 Pr.upf
Ag 107.87 Ag.upf
Pd 106.42 Pd.upf
ATOMIC_POSITIONS crystal
Pr 0.4064 0.5223 0.8129
Pr 0.6757 0.0084 0.3514
Pr 0.8000 0.6563 0.5999
Pr 0.9725 0.2187 0.9451
Pr 0.2000 0.3437 0.4001
Pr 0.3243 0.9916 0.6486
Pr 0.5936 0.4777 0.1871
Pr 0.0275 0.7813 0.0549
Ag 0.5000 0.0000 0.0000
Pd 0.8288 0.2615 0.6576
Pd 0.1712 0.7385 0.3424
CELL_PARAMETERS angstrom
-3.8699 3.4518 1.3011
-4.4433 -5.3265 0.9155
6.2618 0.0341 7.5500
```

Calculated values
- SG: C2/m
- E_form: -0.30 eV/atom
- Total energy: -54.8 eV for the cell shown

=====

[8]
The following is a GGA-PBE calculation of DyErSc2As4 after structural relaxation, from Alexandria. Values from VASP.

Structure (Quantum ESPRESSO input):
```
&SYSTEM
  ibrav = 0, nat = 8, ntyp = 4
/
ATOMIC_SPECIES
Dy 162.50 Dy.upf
Er 167.26 Er.upf
Sc 44.96 Sc.upf
As 74.92 As.upf
ATOMIC_POSITIONS crystal
Dy 0.5000 0.5000 0.0000
Er 0.0000 0.5000 0.5000
Sc 0.0000 0.0000 0.0000
Sc 0.5000 0.0000 0.5000
As 0.0000 0.7642 0.7442
As 0.0000 0.2358 0.2558
As 0.5000 0.7634 0.2467
As 0.5000 0.2366 0.7533
CELL_PARAMETERS angstrom
-2.6052 -1.5889 -2.5815
5.1722 -3.2448 -3.2226
0.9620 -6.2251 2.8607
```

Calculated values
- SG: P2/m
- E_form: -1.44 eV/atom
- Total energy: -52.0 eV for the cell shown

=====

[9]
The following is a GGA-PBE calculation of YScIr2 after structural relaxation, from Alexandria. Values from VASP.

Structure (Quantum ESPRESSO input):
```
&SYSTEM
  ibrav = 0, nat = 8, ntyp = 3
/
ATOMIC_SPECIES
Y 88.91 Y.upf
Sc 44.96 Sc.upf
Ir 192.22 Ir.upf
ATOMIC_POSITIONS crystal
Y 0.0000 0.0000 0.0000
Y 0.7500 0.2500 0.5000
Sc 0.5000 0.5000 0.0000
Sc 0.2500 0.7500 0.5000
Ir 0.4726 0.1250 0.2500
Ir 0.2774 0.6250 0.2500
Ir 0.3750 0.5274 0.7500
Ir 0.8750 0.7226 0.7500
CELL_PARAMETERS angstrom
4.7633 0.0000 0.0000
0.0000 4.7633 0.0000
2.3816 2.3816 8.5628
```

Calculated values
- SG: I-42d
- E_form: -0.07 eV/atom
- Total energy: -61.6 eV for the cell shown

=====

[10]
The following is a GGA-PBE calculation of Er3Tm3ZnRu2 after structural relaxation, from Alexandria. Values from VASP.

Structure (Quantum ESPRESSO input):
```
&SYSTEM
  ibrav = 0, nat = 9, ntyp = 4
/
ATOMIC_SPECIES
Er 167.26 Er.upf
Tm 168.93 Tm.upf
Zn 65.41 Zn.upf
Ru 101.07 Ru.upf
ATOMIC_POSITIONS crystal
Er 0.5000 0.7230 0.0000
Er 0.5000 0.0000 0.7230
Er 0.5000 0.2770 0.2770
Tm 0.0000 0.6012 0.6012
Tm 0.0000 0.0000 0.3988
Tm 0.0000 0.3988 0.0000
Zn 0.0000 0.0000 0.0000
Ru 0.5000 0.6667 0.3333
Ru 0.5000 0.3333 0.6667
CELL_PARAMETERS angstrom
3.7391 0.0000 0.0000
0.0000 8.0500 0.0000
0.0000 -4.0250 6.9715
```

Calculated values
- SG: P-62m
- E_form: -0.18 eV/atom
- Total energy: -48.5 eV for the cell shown

=====

[11]
The following is a GGA-PBE calculation of La3Ge3Rh2 after structural relaxation, from Alexandria. Values from VASP.

Structure (Quantum ESPRESSO input):
```
&SYSTEM
  ibrav = 0, nat = 16, ntyp = 3
/
ATOMIC_SPECIES
La 138.91 La.upf
Ge 72.64 Ge.upf
Rh 102.91 Rh.upf
ATOMIC_POSITIONS crystal
La 0.9258 0.8516 0.3934
La 0.0742 0.1484 0.8934
La 0.9258 0.8516 0.1066
La 0.0742 0.1484 0.6066
La 0.6505 0.3011 0.2500
La 0.3495 0.6989 0.7500
Ge 0.6455 0.2910 0.4641
Ge 0.3545 0.7090 0.9641
Ge 0.6455 0.2910 0.0359
Ge 0.3545 0.7090 0.5359
Ge 0.3506 0.7013 0.2500
Ge 0.6494 0.2987 0.7500
Rh 0.7878 0.5756 0.8941
Rh 0.2122 0.4244 0.3941
Rh 0.7878 0.5756 0.6059
Rh 0.2122 0.4244 0.1059
CELL_PARAMETERS angstrom
-0.4133 -2.8700 3.2350
-3.6792 -1.3676 -4.6003
10.8070 -8.4629 -6.1275
```

Calculated values
- SG: Cmcm
- E_form: -0.87 eV/atom
- Total energy: -100.6 eV for the cell shown

=====

[12]
The following is a GGA-PBE calculation of Eu5Bi3 after structural relaxation, from Alexandria. Values from VASP.

Structure (Quantum ESPRESSO input):
```
&SYSTEM
  ibrav = 0, nat = 16, ntyp = 2
/
ATOMIC_SPECIES
Eu 151.96 Eu.upf
Bi 208.98 Bi.upf
ATOMIC_POSITIONS crystal
Eu 0.6667 0.3333 0.5000
Eu 0.3333 0.6667 0.5000
Eu 0.3333 0.6667 0.0000
Eu 0.6667 0.3333 0.0000
Eu 0.7485 0.7485 0.2500
Eu 0.2515 0.0000 0.2500
Eu 0.0000 0.2515 0.2500
Eu 0.2515 0.2515 0.7500
Eu 0.7485 0.0000 0.7500
Eu 0.0000 0.7485 0.7500
Bi 0.3899 0.3899 0.2500
Bi 0.6101 0.0000 0.2500
Bi 0.0000 0.6101 0.2500
Bi 0.6101 0.6101 0.7500
Bi 0.3899 0.0000 0.7500
Bi 0.0000 0.3899 0.7500
CELL_PARAMETERS angstrom
-7.9890 -5.3179 0.2173
7.8946 -3.0095 4.5573
-2.1227 3.4318 5.9434
```

Calculated values
- SG: P6_3/mcm
- E_form: -0.84 eV/atom
- Total energy: -139.5 eV for the cell shown